A relaxed Mo2PIr crystal. Source: Alexandria via LeMat-Bulk, functional PBEsol.

Values from the calculation:
energy = -117.4 eV for the cell shown
ΔH_f (0 K) = 0.01 eV/atom
magnetic moment = 0.0 μB/cell

Lattice parameters (Å, degrees): 2.7983 2.7983 25.1587 90.00 90.00 120.00
Space group R3m (No. 160, hexagonal axes)
Symmetry-distinct sites (fractional):
Mo  0.0000  0.0000  0.0000
Mo  0.0000  0.0000  0.2407
P  0.0000  0.0000  0.7427
Ir  0.0000  0.0000  0.4860

---

A relaxed Mo2PIr crystal. Source: Alexandria via LeMat-Bulk, functional PBEsol.

Values from the calculation:
energy = -38.9 eV for the cell shown
ΔH_f (0 K) = 0.05 eV/atom
magnetic moment = 0.0 μB/cell

Lattice parameters (Å, degrees): 3.6103 3.6103 4.3272 90.00 90.00 90.00
Space group P4/mmm (No. 123)
Symmetry-distinct sites (fractional):
Mo  0.0000  0.5000  0.0000
P  0.0000  0.0000  0.5000
Ir  0.5000  0.5000  0.5000

---

A relaxed Mo2IrPb crystal. Source: Alexandria via LeMat-Bulk, functional PBEsol.

Values from the calculation:
energy = -71.0 eV for the cell shown
ΔH_f (0 K) = 0.46 eV/atom
magnetic moment = 0.0 μB/cell

Lattice parameters (Å, degrees): 9.4584 2.9955 4.9141 90.00 103.40 90.00
Space group Cm (No. 8)
Symmetry-distinct sites (fractional):
Mo  0.0000  0.0000  0.0000
Mo  0.2270  0.5000  0.2459
Ir  0.2600  0.0000  0.8205
Pb  0.4924  0.0000  0.5060

---

A relaxed Mo2IrPb crystal. Source: Alexandria via LeMat-Bulk, functional PBEsol.

Values from the calculation:
energy = -35.8 eV for the cell shown
ΔH_f (0 K) = 0.40 eV/atom
magnetic moment = 0.0 μB/cell

Lattice parameters (Å, degrees): 2.8305 3.9891 6.1735 90.00 94.10 90.00
Space group P2/m (No. 10)
Symmetry-distinct sites (fractional):
Mo  0.0325  0.0000  0.2008
Ir  0.5000  0.5000  0.0000
Pb  0.5000  0.5000  0.5000

---

A relaxed Mo2IrPb crystal. Source: Alexandria via LeMat-Bulk, functional PBEsol.

Values from the calculation:
energy = -106.0 eV for the cell shown
ΔH_f (0 K) = 0.50 eV/atom
magnetic moment = 0.0 μB/cell

Lattice parameters (Å, degrees): 2.9010 2.9010 27.8754 90.00 90.00 120.00
Space group R-3m (No. 166, hexagonal axes)
Symmetry-distinct sites (fractional):
Mo  0.0000  0.0000  0.2431
Ir  0.0000  0.0000  0.5000
Pb  0.0000  0.0000  0.0000

---

A relaxed MoIr2Pb crystal. Source: Alexandria via LeMat-Bulk, functional PBEsol.

Values from the calculation:
energy = -67.6 eV for the cell shown
ΔH_f (0 K) = 0.41 eV/atom
magnetic moment = 0.0 μB/cell

Lattice parameters (Å, degrees): 4.0256 4.0256 7.9771 90.00 90.00 90.00
Space group I-4m2 (No. 119)
Symmetry-distinct sites (fractional):
Mo  0.0000  0.0000  0.0000
Ir  0.0000  0.0000  0.5000
Ir  0.0000  0.5000  0.7500
Pb  0.0000  0.5000  0.2500

---

A relaxed MoIr2Pb crystal. Source: Alexandria via LeMat-Bulk, functional PBEsol.

Values from the calculation:
energy = -67.9 eV for the cell shown
ΔH_f (0 K) = 0.37 eV/atom
magnetic moment = 1.8 μB/cell

Lattice parameters (Å, degrees): 4.0418 4.0418 7.9146 90.00 90.00 90.00
Space group I4/mmm (No. 139)
Symmetry-distinct sites (fractional):
Mo  0.0000  0.0000  0.0000
Ir  0.0000  0.5000  0.2500
Pb  0.0000  0.0000  0.5000

---

A relaxed MoIr2Pb crystal. Source: Alexandria via LeMat-Bulk, functional PBEsol.

Values from the calculation:
energy = -67.6 eV for the cell shown
ΔH_f (0 K) = 0.40 eV/atom
magnetic moment = 0.0 μB/cell

Lattice parameters (Å, degrees): 5.7045 7.8191 2.9122 90.00 90.00 90.00
Space group Cmmm (No. 65)
Symmetry-distinct sites (fractional):
Mo  0.0000  0.0000  0.0000
Ir  0.2500  0.2500  0.5000
Pb  0.0000  0.5000  0.0000

---

A relaxed Te2MoIrPb crystal. Source: Alexandria via LeMat-Bulk, functional PBEsol.

Values from the calculation:
energy = -20.4 eV for the cell shown
magnetic moment = 2.2 μB/cell
uncorrected formation energy = 2455 meV per atom

Lattice parameters (Å, degrees): 5.5477 5.5477 5.1975 90.00 90.00 90.00
Space group P4/mmm (No. 123)
Symmetry-distinct sites (fractional):
Te  0.0000  0.5000  0.0000
Mo  0.0000  0.0000  0.5000
Ir  0.5000  0.5000  0.5000
Pb  0.0000  0.0000  0.0000

---

A relaxed MoIrPbW2 crystal. Source: Alexandria via LeMat-Bulk, functional PBEsol.

Values from the calculation:
energy = -43.5 eV for the cell shown
ΔH_f (0 K) = 1.93 eV/atom
magnetic moment = 0.0 μB/cell

Lattice parameters (Å, degrees): 4.7266 4.7266 4.7588 90.00 90.00 90.00
Space group P4/mmm (No. 123)
Symmetry-distinct sites (fractional):
Mo  0.0000  0.0000  0.0000
Ir  0.0000  0.0000  0.5000
Pb  0.5000  0.5000  0.5000
W  0.0000  0.5000  0.0000

---

A relaxed MoIr2Pd crystal. Source: Alexandria via LeMat-Bulk, functional PBEsol.

Values from the calculation:
energy = -147.0 eV for the cell shown
ΔH_f (0 K) = 0.15 eV/atom
magnetic moment = 0.0 μB/cell

Lattice parameters (Å, degrees): 6.1632 6.1632 6.1632 90.00 90.00 90.00
Space group Fm-3m (No. 225)
Symmetry-distinct sites (fractional):
Mo  0.0000  0.0000  0.0000
Ir  0.2500  0.2500  0.2500
Pd  0.0000  0.0000  0.5000

---

A relaxed Mo2IrPt crystal. Source: Alexandria via LeMat-Bulk, functional PBEsol.

Values from the calculation:
energy = -83.1 eV for the cell shown
ΔH_f (0 K) = -0.31 eV/atom
magnetic moment = 0.0 μB/cell
distance to the lowest polymorph of the same formula = 1.24 kcal/mol of atoms

Lattice parameters (Å, degrees): 3.8413 3.8413 7.9467 90.00 90.00 90.00
Space group I4/mmm (No. 139)
Symmetry-distinct sites (fractional):
Mo  0.0000  0.5000  0.2500
Ir  0.0000  0.0000  0.0000
Pt  0.0000  0.0000  0.5000

---

A relaxed Mo2IrPt crystal. Source: Alexandria via LeMat-Bulk, functional PBEsol.

Values from the calculation:
energy = -40.4 eV for the cell shown
ΔH_f (0 K) = -0.01 eV/atom
magnetic moment = 0.0 μB/cell
distance to the lowest polymorph of the same formula = 8.11 kcal/mol of atoms

Lattice parameters (Å, degrees): 3.2806 3.2806 5.6041 90.00 90.00 90.00
Space group P4mm (No. 99)
Symmetry-distinct sites (fractional):
Mo  0.0000  0.0000  0.0000
Mo  0.5000  0.5000  0.2725
Ir  0.5000  0.5000  0.7756
Pt  0.0000  0.0000  0.5147

---

A relaxed Mo2IrPt crystal. Source: Alexandria via LeMat-Bulk, functional PBEsol.

Values from the calculation:
energy = -41.6 eV for the cell shown
ΔH_f (0 K) = -0.32 eV/atom
magnetic moment = 0.0 μB/cell
distance to the lowest polymorph of the same formula = 1.03 kcal/mol of atoms

Lattice parameters (Å, degrees): 2.7146 2.7146 7.9706 90.00 90.00 90.00
Space group P4/mmm (No. 123)
Symmetry-distinct sites (fractional):
Mo  0.0000  0.0000  0.2439
Ir  0.5000  0.5000  0.0000
Pt  0.5000  0.5000  0.5000

---

A relaxed Mo2IrPt crystal. Source: Alexandria via LeMat-Bulk, functional PBEsol.

Values from the calculation:
energy = -41.8 eV for the cell shown
ΔH_f (0 K) = -0.37 eV/atom
magnetic moment = 0.0 μB/cell
distance to the lowest polymorph of the same formula = 0.00 kcal/mol of atoms

Lattice parameters (Å, degrees): 2.7314 4.4245 4.8435 90.00 90.00 90.00
Space group Pmm2 (No. 25)
Symmetry-distinct sites (fractional):
Mo  0.0000  0.0000  0.0000
Mo  0.0000  0.5000  0.3357
Ir  0.5000  0.0000  0.4962
Pt  0.5000  0.5000  0.8368

---

A relaxed Mo2IrPt crystal. Source: Alexandria via LeMat-Bulk, functional PBEsol.

Values from the calculation:
energy = -41.6 eV for the cell shown
ΔH_f (0 K) = -0.32 eV/atom
magnetic moment = 0.0 μB/cell
distance to the lowest polymorph of the same formula = 0.99 kcal/mol of atoms

Lattice parameters (Å, degrees): 2.7157 3.9769 5.4393 90.00 90.00 90.00
Space group Pmmm (No. 47)
Symmetry-distinct sites (fractional):
Mo  0.0000  0.0000  0.2410
Ir  0.5000  0.5000  0.0000
Pt  0.5000  0.5000  0.5000

---

A relaxed MoIr2Pt crystal. Source: Alexandria via LeMat-Bulk, functional PBEsol.

Values from the calculation:
energy = -37.9 eV for the cell shown
ΔH_f (0 K) = 0.11 eV/atom
magnetic moment = 0.0 μB/cell

Lattice parameters (Å, degrees): 2.6924 4.6131 4.7664 90.00 90.89 90.00
Space group P2/m (No. 10)
Symmetry-distinct sites (fractional):
Mo  0.0000  0.0000  0.0000
Ir  0.2698  0.5000  0.7467
Pt  0.5000  0.0000  0.5000

---

A relaxed Mo2IrPt crystal. Source: Alexandria via LeMat-Bulk, functional PBEsol.

Values from the calculation:
energy = -83.1 eV for the cell shown
ΔH_f (0 K) = -0.31 eV/atom
magnetic moment = 0.0 μB/cell
distance to the lowest polymorph of the same formula = 1.31 kcal/mol of atoms

Lattice parameters (Å, degrees): 5.4193 7.9777 2.7123 90.00 90.00 90.00
Space group Cmmm (No. 65)
Symmetry-distinct sites (fractional):
Mo  0.2500  0.2500  0.0000
Ir  0.0000  0.0000  0.5000
Pt  0.0000  0.5000  0.5000

---

A relaxed RbZrMoIr2 crystal. Source: Alexandria via LeMat-Bulk, functional PBEsol.

Values from the calculation:
energy = -31.1 eV for the cell shown
ΔH_f (0 K) = 2.08 eV/atom
magnetic moment = 4.0 μB/cell

Lattice parameters (Å, degrees): 4.8260 4.8260 5.2190 90.00 90.00 90.00
Space group P4/mmm (No. 123)
Symmetry-distinct sites (fractional):
Rb  0.0000  0.0000  0.0000
Zr  0.0000  0.0000  0.5000
Mo  0.5000  0.5000  0.0000
Ir  0.0000  0.5000  0.5000

---

A relaxed Re2MoIr crystal. Source: Alexandria via LeMat-Bulk, functional PBEsol.

Values from the calculation:
energy = -48.8 eV for the cell shown
ΔH_f (0 K) = -0.14 eV/atom
magnetic moment = 0.0 μB/cell
distance to the lowest polymorph of the same formula = 0.00 kcal/mol of atoms

Lattice parameters (Å, degrees): 2.7413 4.4279 4.7946 90.00 90.00 90.00
Space group Pmm2 (No. 25)
Symmetry-distinct sites (fractional):
Re  0.0000  0.0000  0.0000
Re  0.5000  0.5000  0.1647
Mo  0.0000  0.5000  0.6662
Ir  0.5000  0.0000  0.5041

---

A relaxed Re2MoIr crystal. Source: Alexandria via LeMat-Bulk, functional PBEsol.

Values from the calculation:
energy = -97.2 eV for the cell shown
ΔH_f (0 K) = -0.09 eV/atom
magnetic moment = 0.0 μB/cell
distance to the lowest polymorph of the same formula = 1.21 kcal/mol of atoms

Lattice parameters (Å, degrees): 3.8720 3.8720 7.7711 90.00 90.00 90.00
Space group I-4m2 (No. 119)
Symmetry-distinct sites (fractional):
Re  0.0000  0.0000  0.0000
Re  0.0000  0.5000  0.2500
Mo  0.0000  0.0000  0.5000
Ir  0.0000  0.5000  0.7500

---

A relaxed MoIrRh3 crystal. Source: Alexandria via LeMat-Bulk, functional PBEsol.

Values from the calculation:
energy = -37.4 eV for the cell shown
ΔH_f (0 K) = 1.73 eV/atom
magnetic moment = 0.0 μB/cell

Lattice parameters (Å, degrees): 4.4939 4.4939 4.4939 90.00 90.00 90.00
Space group Pm-3m (No. 221)
Symmetry-distinct sites (fractional):
Mo  0.0000  0.0000  0.0000
Ir  0.5000  0.5000  0.5000
Rh  0.0000  0.0000  0.5000

---

A relaxed MoIrRh crystal. Source: Alexandria via LeMat-Bulk, functional PBEsol.

Values from the calculation:
energy = -30.0 eV for the cell shown
ΔH_f (0 K) = -0.09 eV/atom
magnetic moment = 0.0 μB/cell
distance to the lowest polymorph of the same formula = 3.20 kcal/mol of atoms

Lattice parameters (Å, degrees): 4.3022 4.3022 2.6895 90.00 90.00 120.00
Space group P-6m2 (No. 187)
Symmetry-distinct sites (fractional):
Mo  0.0000  0.0000  0.0000
Ir  0.6667  0.3333  0.5000
Rh  0.3333  0.6667  0.0000

---

A relaxed MoIrRh crystal. Source: Alexandria via LeMat-Bulk, functional PBEsol.

Values from the calculation:
energy = -60.8 eV for the cell shown
ΔH_f (0 K) = -0.23 eV/atom
magnetic moment = 0.0 μB/cell
distance to the lowest polymorph of the same formula = 0.00 kcal/mol of atoms

Lattice parameters (Å, degrees): 2.7020 3.8473 8.1859 90.00 90.00 90.00
Space group Imm2 (No. 44)
Symmetry-distinct sites (fractional):
Mo  0.0000  0.0000  0.0000
Ir  0.0000  0.0000  0.3357
Rh  0.0000  0.0000  0.6682

---

A relaxed Mo3IrRh crystal. Source: Alexandria via LeMat-Bulk, functional PBEsol.

Values from the calculation:
energy = -44.1 eV for the cell shown
ΔH_f (0 K) = 1.83 eV/atom
magnetic moment = 0.0 μB/cell

Lattice parameters (Å, degrees): 4.6192 4.6192 4.6192 90.00 90.00 90.00
Space group Pm-3m (No. 221)
Symmetry-distinct sites (fractional):
Mo  0.0000  0.0000  0.5000
Ir  0.0000  0.0000  0.0000
Rh  0.5000  0.5000  0.5000

---

A relaxed Mo2IrRu crystal. Source: Alexandria via LeMat-Bulk, functional PBEsol.

Values from the calculation:
energy = -44.0 eV for the cell shown
ΔH_f (0 K) = -0.12 eV/atom
magnetic moment = 0.0 μB/cell
distance to the lowest polymorph of the same formula = 0.56 kcal/mol of atoms

Lattice parameters (Å, degrees): 2.7372 2.7372 7.6903 90.00 90.00 90.00
Space group P4/mmm (No. 123)
Symmetry-distinct sites (fractional):
Mo  0.0000  0.0000  0.2467
Ir  0.5000  0.5000  0.5000
Ru  0.5000  0.5000  0.0000

---

A relaxed Mo2IrRu crystal. Source: Alexandria via LeMat-Bulk, functional PBEsol.

Values from the calculation:
energy = -44.1 eV for the cell shown
ΔH_f (0 K) = -0.13 eV/atom
magnetic moment = 0.0 μB/cell
distance to the lowest polymorph of the same formula = 0.38 kcal/mol of atoms

Lattice parameters (Å, degrees): 2.7307 3.8528 5.4734 90.00 90.00 90.00
Space group Pmmm (No. 47)
Symmetry-distinct sites (fractional):
Mo  0.0000  0.0000  0.2466
Ir  0.5000  0.5000  0.5000
Ru  0.5000  0.5000  0.0000

---

A relaxed MoIrRu3 crystal. Source: Alexandria via LeMat-Bulk, functional PBEsol.

Values from the calculation:
energy = -41.0 eV for the cell shown
ΔH_f (0 K) = 2.23 eV/atom
magnetic moment = 2.5 μB/cell

Lattice parameters (Å, degrees): 4.5713 4.5713 4.5713 90.00 90.00 90.00
Space group Pm-3m (No. 221)
Symmetry-distinct sites (fractional):
Mo  0.0000  0.0000  0.0000
Ir  0.5000  0.5000  0.5000
Ru  0.0000  0.5000  0.5000

---

A relaxed Mo2IrRu crystal. Source: Alexandria via LeMat-Bulk, functional PBEsol.

Values from the calculation:
energy = -44.1 eV for the cell shown
ΔH_f (0 K) = -0.15 eV/atom
magnetic moment = 0.0 μB/cell
distance to the lowest polymorph of the same formula = 0.00 kcal/mol of atoms

Lattice parameters (Å, degrees): 2.7614 4.3906 4.7500 90.00 90.00 90.00
Space group Pmm2 (No. 25)
Symmetry-distinct sites (fractional):
Mo  0.0000  0.0000  0.0000
Mo  0.0000  0.5000  0.3490
Ir  0.5000  0.0000  0.4991
Ru  0.5000  0.5000  0.8565

---

A relaxed Mo2IrRu crystal. Source: Alexandria via LeMat-Bulk, functional PBEsol.

Values from the calculation:
energy = -88.2 eV for the cell shown
ΔH_f (0 K) = -0.14 eV/atom
magnetic moment = 0.0 μB/cell
distance to the lowest polymorph of the same formula = 0.12 kcal/mol of atoms

Lattice parameters (Å, degrees): 3.8625 3.8625 7.7186 90.00 90.00 90.00
Space group I4/mmm (No. 139)
Symmetry-distinct sites (fractional):
Mo  0.0000  0.5000  0.2500
Ir  0.0000  0.0000  0.0000
Ru  0.0000  0.0000  0.5000

---

A relaxed Mo2IrRu crystal. Source: Alexandria via LeMat-Bulk, functional PBEsol.

Values from the calculation:
energy = -88.1 eV for the cell shown
ΔH_f (0 K) = -0.13 eV/atom
magnetic moment = 0.0 μB/cell
distance to the lowest polymorph of the same formula = 0.32 kcal/mol of atoms

Lattice parameters (Å, degrees): 5.4766 7.7075 2.7296 90.00 90.00 90.00
Space group Cmmm (No. 65)
Symmetry-distinct sites (fractional):
Mo  0.2500  0.2500  0.0000
Ir  0.0000  0.0000  0.5000
Ru  0.0000  0.5000  0.5000